Record 1
Material: CdGa3B4O12
Method: DFT, PBE
State: relaxed

a b c (Å): 9.5447 9.5447 7.5939
angles (deg): 90.00 90.00 120.00
Closest atoms and distances in Å follow each position.
Space group R32 (No. 155, hexagonal axes)
Symmetry-distinct sites (fractional):
Cd 0.0000 0.0000 0.0000 x3  6 O 2.39
Ga 0.0000 0.5517 0.0000 x9  6 O 1.95-2.02
B 0.0000 0.0000 0.5000 x3  3 O 1.38
B 0.0000 0.4469 0.5000 x9  3 O 1.38-1.39
O 0.0000 0.5920 0.5000 x9  1 B 1.39
O 0.0000 0.8554 0.5000 x9  1 B 1.38
O 0.0272 0.2145 0.1851 x18  1 B 1.38

As for the density: 4.63 g/cm³. The energy relative to the elements, uncorrected is -1965 meV/atom.

Record 2
Material: PIOF2
Method: DFT, PBE
State: relaxed

a b c (Å): 3.8930 3.8930 4.9639
angles (deg): 90.00 90.00 90.00
Closest atoms and distances in Å follow each position.
Space group P4/mmm (No. 123)
Symmetry-distinct sites (fractional):
P 0.0000 0.0000 0.0000 x1  4 F 1.95
I 0.5000 0.5000 0.5000 x1  4 O 2.75
O 0.0000 0.0000 0.5000 x1  2 P 2.48, 4 I 2.75
F 0.0000 0.5000 0.0000 x2  2 P 1.95

The energy above the most stable polymorph in this dataset comes out at 0.000 eV/atom. As for the density: 4.68 g/cm³. The energy relative to the elements, uncorrected is -493 meV/atom.